Entry 1:
The following is a PBE calculation of a relaxed structure of In2SnHg4, from Alexandria via LeMat-Bulk.

## Properties
Spin magnetization (μB per cell): 0.00
Space group: P1
Polymorph energy (0 for the lowest one) (meV/atom): 0.3
VASP energy (eV per atom): -1.491
D(E_F) (states/eV/f.u.): 2.7

Cell: 8.333 9.498 7.709 Å, 129.61 104.65 105.24°
Fractional coordinates of all 14 atoms:
1 In 0.744 0.438 0.712
2 In 0.645 0.885 0.315
3 In 0.569 0.104 0.071
4 In 0.131 0.398 0.804
5 Sn 0.057 0.608 0.588
6 Sn 0.156 0.097 0.935
7 Hg 0.923 0.033 0.162
8 Hg 0.344 0.730 0.435
9 Hg 0.681 0.641 0.484
10 Hg 0.858 0.258 0.952
11 Hg 0.290 0.947 0.220
12 Hg 0.462 0.292 0.849
13 Hg 0.406 0.520 0.643
14 Hg 0.984 0.798 0.331

***

Entry 2:
The following is a PBE calculation of a relaxed structure of In16SnHg12, from Alexandria via LeMat-Bulk.

## Properties
Spin magnetization (μB per cell): 0.00
Space group: Cm
VASP energy (eV per atom): -1.744
D(E_F) (states/eV/f.u.): 9.2

Cell: 10.343 10.343 11.442 Å, 117.10 117.10 104.73°
Fractional coordinates of all 29 atoms:
1 In 0.305 0.305 0.229
2 In 0.971 0.971 0.049
3 In 0.003 0.003 0.646
4 In 0.277 0.277 0.668
5 In 0.650 0.434 0.034
6 In 0.581 0.359 0.558
7 In 0.994 0.651 0.432
8 In 0.007 0.638 0.981
9 In 0.704 0.313 0.325
10 In 0.372 0.984 0.664
11 In 0.984 0.372 0.664
12 In 0.313 0.704 0.325
13 In 0.638 0.007 0.981
14 In 0.651 0.994 0.432
15 In 0.359 0.581 0.558
16 In 0.434 0.650 0.034
17 Sn 0.624 0.624 0.353
18 Hg 0.867 0.867 0.279
19 Hg 0.636 0.636 0.875
20 Hg 0.354 0.137 0.961
21 Hg 0.913 0.713 0.716
22 Hg 0.234 0.996 0.364
23 Hg 0.359 0.966 0.143
24 Hg 0.246 0.714 0.773
25 Hg 0.714 0.246 0.773
26 Hg 0.966 0.359 0.143
27 Hg 0.996 0.234 0.364
28 Hg 0.713 0.913 0.716
29 Hg 0.137 0.354 0.961

***

Entry 3:
The following is a PBE calculation of a relaxed structure of In5SnHg8, from Alexandria via LeMat-Bulk.

## Properties
Spin magnetization (μB per cell): 0.00
Space group: I-4
VASP energy (eV per atom): -1.415
D(E_F) (states/eV/f.u.): 4.9

Cell: 7.905 7.905 7.905 Å, 109.66 109.09 109.66°
Fractional coordinates of all 14 atoms:
1 In 0.993 0.372 0.123
2 In 0.877 0.870 0.249
3 In 0.751 0.628 0.621
4 In 0.500 0.000 0.500
5 In 0.379 0.130 0.007
6 Sn 0.250 0.500 0.750
7 Hg 0.123 0.749 0.029
8 Hg 0.971 0.095 0.721
9 Hg 0.781 0.250 0.379
10 Hg 0.621 0.402 0.871
11 Hg 0.469 0.598 0.219
12 Hg 0.626 0.905 0.877
13 Hg 0.279 0.251 0.374
14 Hg 0.129 0.750 0.531

***

Entry 4:
The following is a PBE calculation of a relaxed structure of In7SnHg4, from Alexandria via LeMat-Bulk.

## Properties
Spin magnetization (μB per cell): 0.00
Space group: P-3m1
VASP energy (eV per atom): -2.000
D(E_F) (states/eV/f.u.): 4.2

Cell: 3.926 3.926 24.909 Å, 90.00 90.00 120.00°
Fractional coordinates of all 12 atoms:
1 In 0.000 0.000 0.000
2 In 0.667 0.333 0.586
3 In 0.333 0.667 0.414
4 In 0.667 0.333 0.836
5 In 0.333 0.667 0.164
6 In 0.000 0.000 0.252
7 In 0.000 0.000 0.748
8 Sn 0.000 0.000 0.500
9 Hg 0.667 0.333 0.083
10 Hg 0.333 0.667 0.917
11 Hg 0.667 0.333 0.333
12 Hg 0.333 0.667 0.667

***

Entry 5:
The following is a PBE calculation of a relaxed structure of In2SnHg4, from Alexandria via LeMat-Bulk.

## Properties
Spin magnetization (μB per cell): 0.00
Space group: P-1
Polymorph energy (0 for the lowest one) (meV/atom): 0.0
VASP energy (eV per atom): -1.491
D(E_F) (states/eV/f.u.): 2.2

Cell: 7.088 10.232 8.948 Å, 88.76 137.15 71.23°
Fractional coordinates of all 14 atoms:
1 Hg 0.675 0.493 0.783
2 Hg 0.201 0.833 0.048
3 Hg 0.799 0.167 0.952
4 Hg 0.095 0.503 0.718
5 Hg 0.603 0.000 0.267
6 Hg 0.905 0.497 0.282
7 Hg 0.325 0.507 0.217
8 Hg 0.397 0.000 0.733
9 Sn 0.261 0.753 0.761
10 Sn 0.739 0.247 0.239
11 In 0.017 0.232 0.752
12 In 0.983 0.768 0.248
13 In 0.601 0.812 0.565
14 In 0.399 0.188 0.435

***

Entry 6:
The following is a PBE calculation of a relaxed structure of In4SnHg6, from Alexandria via LeMat-Bulk.

## Properties
Spin magnetization (μB per cell): 0.00
Space group: Cm
VASP energy (eV per atom): -1.486
D(E_F) (states/eV/f.u.): 3.4

Cell: 7.406 6.860 7.406 Å, 64.74 97.87 115.26°
Fractional coordinates of all 11 atoms:
1 In 0.683 0.755 0.317
2 In 0.837 0.317 0.767
3 In 0.217 0.759 0.783
4 In 0.233 0.317 0.163
5 Sn 0.008 0.942 0.992
6 Hg 0.509 0.212 0.491
7 Hg 0.840 0.405 0.160
8 Hg 0.563 0.607 0.792
9 Hg 0.948 0.039 0.547
10 Hg 0.208 0.607 0.437
11 Hg 0.453 0.039 0.052

***

- What is the spin magnetization in the fifth record?
  0.00 μB per cell